# NiGePb3, relaxed, DFT GGA-PBE
data_NiGePb3
_chemical_formula_sum 'Ni1 Ge1 Pb3'
_cell_length_a 5.4811
_cell_length_b 5.4811
_cell_length_c 5.4811
_cell_angle_alpha 90.00
_cell_angle_beta 90.00
_cell_angle_gamma 90.00
_symmetry_space_group_name_H-M 'P m -3 m'
_symmetry_Int_Tables_number 221
_symmetry_space_group_name_Hall '-P 4 2 3'
loop_
_atom_site_label
_atom_site_type_symbol
_atom_site_fract_x
_atom_site_fract_y
_atom_site_fract_z
Ni1 Ni 0.0000 0.0000 0.0000
Ge1 Ge 0.5000 0.5000 0.5000
Pb1 Pb 0.0000 0.5000 0.5000
# Total DFT energy (no corrections) ... -3.33 eV/atom
# DOS at the Fermi energy ... 1.27 states/eV per atom
# Energy relative to the elements ... 0.970 eV/atom
# ΔE to the lowest computed polymorph ... 673.1 meV per atom
# Total magnetization ... 0.42 μB/f.u.

***

# TbTm2Pt, relaxed, DFT GGA-PBE
data_TbTm2Pt
_chemical_formula_sum 'Tb4 Tm8 Pt4'
_cell_length_a 7.0219
_cell_length_b 9.4455
_cell_length_c 6.4469
_cell_angle_alpha 90.00
_cell_angle_beta 90.00
_cell_angle_gamma 90.00
_symmetry_space_group_name_H-M 'P n m a'
_symmetry_Int_Tables_number 62
_symmetry_space_group_name_Hall '-P 2ac 2n'
loop_
_atom_site_label
_atom_site_type_symbol
_atom_site_fract_x
_atom_site_fract_y
_atom_site_fract_z
Tb1 Tb 0.0230 0.2500 0.1282
Tm1 Tm 0.1790 0.0609 0.6776
Pt1 Pt 0.1120 0.7500 0.4449
# Total DFT energy (no corrections) ... -5.64 eV/atom
# DOS at the Fermi energy ... 1.09 states/eV per atom
# Energy relative to the elements ... -0.736 eV/atom
# ΔE to the lowest computed polymorph ... 0.0 meV per atom
# Total magnetization ... 0.00 μB/f.u.